(1)
A relaxed structure of Tm6Tl2In, computed with PBE-GGA.

Cell and atoms, written as CIF:
```
data_Tm6Tl2In
_cell_length_a 5.111
_cell_length_b 7.229
_cell_length_c 15.336
_cell_angle_alpha 90.00
_cell_angle_beta 90.00
_cell_angle_gamma 90.00
_space_group_name_H-M_alt 'I m m m'
_space_group_IT_number 71
_space_group_name_Hall '-I 2 2'
loop_
_atom_site_label
_atom_site_type_symbol
_atom_site_fract_x
_atom_site_fract_y
_atom_site_fract_z
Tm1 Tm 0.000 0.249 0.000
Tm2 Tm 0.000 0.250 0.334
Tl1 Tl 0.000 0.500 0.167
In1 In 0.000 0.500 0.500
```

Computed properties:
The calculated density is 9.01 g/cm³. The value obtained for the formation energy is -44 meV per atom. The crystal system is orthorhombic. As for the magnetization: 0.00 μB/f.u.

(2)
A relaxed structure of Tm4Tl2In, computed with PBE-GGA.

Cell and atoms, written as CIF:
```
data_Tm4Tl2In
_cell_length_a 5.1923
_cell_length_b 5.1923
_cell_length_c 25.6657
_cell_angle_alpha 90.00
_cell_angle_beta 90.00
_cell_angle_gamma 120.00
_space_group_name_H-M_alt 'R -3 m'
_space_group_IT_number 166
_space_group_name_Hall '-R 3 2"'
loop_
_atom_site_label
_atom_site_type_symbol
_atom_site_fract_x
_atom_site_fract_y
_atom_site_fract_z
Tm1 Tm 0.0000 0.0000 0.1213
Tm2 Tm 0.0000 0.0000 0.3739
Tl1 Tl 0.0000 0.0000 0.2546
In1 In 0.0000 0.0000 0.5000
```

Computed properties:
The value obtained for the energy above the lowest structure with this stoichiometry is 0 meV per atom. The calculated density is 9.97 g/cm³. The value obtained for the formation energy is -192 meV per atom. The crystal system is trigonal. As for the magnetization: 0.00 μB/f.u.

(3)
A relaxed structure of Tm6Tl3In, computed with PBE-GGA.

Cell and atoms, written as CIF:
```
data_Tm6Tl3In
_cell_length_a 9.778
_cell_length_b 5.095
_cell_length_c 11.282
_cell_angle_alpha 90.00
_cell_angle_beta 103.69
_cell_angle_gamma 90.00
_space_group_name_H-M_alt 'P 1 21/m 1'
_space_group_IT_number 11
loop_
_space_group_symop_operation_xyz
'x,y,z'
'-x,-y,-z'
'-x,y+1/2,-z'
'x,-y+1/2,z'
loop_
_atom_site_label
_atom_site_type_symbol
_atom_site_fract_x
_atom_site_fract_y
_atom_site_fract_z
Tm1 Tm 0.057 0.250 0.409
Tm2 Tm 0.150 0.750 0.180
Tm3 Tm 0.259 0.250 0.993
Tm4 Tm 0.337 0.750 0.808
Tm5 Tm 0.371 0.250 0.310
Tm6 Tm 0.393 0.250 0.614
Tl1 Tl 0.032 0.750 0.890
Tl2 Tl 0.120 0.250 0.705
Tl3 Tl 0.287 0.750 0.467
In1 In 0.443 0.750 0.116
```

Computed properties:
The value obtained for the energy above the lowest structure with this stoichiometry is 0 meV per atom. The calculated density is 10.59 g/cm³. The value obtained for the formation energy is -261 meV per atom. The crystal system is monoclinic. As for the magnetization: 0.00 μB/f.u.

(4)
A relaxed structure of Tm5TlIn6, computed with PBE-GGA.

Cell and atoms, written as CIF:
```
data_Tm5TlIn6
_cell_length_a 4.750
_cell_length_b 9.061
_cell_length_c 14.343
_cell_angle_alpha 90.00
_cell_angle_beta 90.00
_cell_angle_gamma 90.00
_space_group_name_H-M_alt 'I m m m'
_space_group_IT_number 71
_space_group_name_Hall '-I 2 2'
loop_
_atom_site_label
_atom_site_type_symbol
_atom_site_fract_x
_atom_site_fract_y
_atom_site_fract_z
Tm1 Tm 0.000 0.000 0.000
Tm2 Tm 0.000 0.000 0.354
Tm3 Tm 0.000 0.500 0.326
Tl1 Tl 0.000 0.500 0.000
In1 In 0.000 0.242 0.173
In2 In 0.000 0.268 0.500
```

Computed properties:
The calculated density is 9.35 g/cm³. The value obtained for the formation energy is -379 meV per atom. The crystal system is orthorhombic. As for the magnetization: 0.00 μB/f.u.

(5)
A relaxed structure of TmTl2In, computed with PBE-GGA.

Cell and atoms, written as CIF:
```
data_TmTl2In
_cell_length_a 4.8234
_cell_length_b 4.8234
_cell_length_c 17.6703
_cell_angle_alpha 90.00
_cell_angle_beta 90.00
_cell_angle_gamma 120.00
_space_group_name_H-M_alt 'R 3 m'
_space_group_IT_number 160
_space_group_name_Hall 'R 3 -2"'
loop_
_atom_site_label
_atom_site_type_symbol
_atom_site_fract_x
_atom_site_fract_y
_atom_site_fract_z
Tm1 Tm 0.0000 0.0000 0.0000
Tl1 Tl 0.0000 0.0000 0.3974
Tl2 Tl 0.0000 0.0000 0.5770
In1 In 0.0000 0.0000 0.8112
```

Computed properties:
The calculated density is 9.69 g/cm³. The value obtained for the formation energy is -13 meV per atom. The crystal system is trigonal. As for the magnetization: 0.00 μB/f.u.

(6)
A relaxed structure of Tm2TlIn2, computed with PBE-GGA.

Cell and atoms, written as CIF:
```
data_Tm2TlIn2
_cell_length_a 4.700
_cell_length_b 16.114
_cell_length_c 3.405
_cell_angle_alpha 90.00
_cell_angle_beta 90.00
_cell_angle_gamma 90.00
_space_group_name_H-M_alt 'C m m m'
_space_group_IT_number 65
_space_group_name_Hall '-C 2 2'
loop_
_atom_site_label
_atom_site_type_symbol
_atom_site_fract_x
_atom_site_fract_y
_atom_site_fract_z
Tm1 Tm 0.000 0.112 0.000
Tl1 Tl 0.000 0.500 0.500
In1 In 0.000 0.302 0.500
```

Computed properties:
The value obtained for the energy above the lowest structure with this stoichiometry is 0 meV per atom. The calculated density is 9.94 g/cm³. The value obtained for the formation energy is -325 meV per atom. The crystal system is orthorhombic. As for the magnetization: 0.00 μB/f.u.